Entry 1:
First-principles (GGA-PBE) data for a relaxed BaMoP2Os crystal, as listed in the Alexandria database.

Unit cell a=4.0684 b=4.0684 c=12.6366 alpha=90.00 beta=90.00 gamma=90.00
Closest atoms and distances in Å follow each position.
Space group I-4m2 (No. 119)
Asymmetric unit:
Ba 0.0000 0.0000 0.0000 [2 per cell]  8 P 3.44, 4 Mo 3.76, 4 Os 3.76
Mo 0.0000 0.5000 0.7500 [2 per cell]  4 P 2.40
P 0.0000 0.0000 0.3502 [4 per cell]  2 Mo 2.40, 2 Os 2.40
Os 0.0000 0.5000 0.2500 [2 per cell]  4 P 2.40

Energy of formation from the pure elements in eV per atom: -0.61
Offset from the most stable computed form in meV/atom: 0.0
Total DFT energy (no corrections) in eV per cell: -75.75

---

Entry 2:
First-principles (GGA-PBE) data for a relaxed ScAg2 crystal, as listed in the Alexandria database.

Unit cell a=6.5537 b=6.5537 c=6.5537 alpha=90.00 beta=90.00 gamma=90.00
Closest atoms and distances in Å follow each position.
Space group Pa-3 (No. 205)
Asymmetric unit:
Sc 0.0000 0.0000 0.0000 [4 per cell]  6 Ag 2.73
Ag 0.1196 0.6196 0.8804 [8 per cell]  1 Ag 2.71, 3 Sc 2.73

Energy of formation from the pure elements in eV per atom: 0.39
Offset from the most stable computed form in meV/atom: 682.9
Total DFT energy (no corrections) in eV per cell: -43.46